# Na2BeSnAs (PBE, optimized geometry)
data_Na2BeSnAs
_cell_length_a 5.994
_cell_length_b 5.157
_cell_length_c 5.994
_cell_angle_alpha 90.00
_cell_angle_beta 90.00
_cell_angle_gamma 90.00
_space_group_name_H-M_alt 'P 1'
_space_group_IT_number 1
_space_group_name_Hall 'P 1'
loop_
_atom_site_label
_atom_site_type_symbol
_atom_site_fract_x
_atom_site_fract_y
_atom_site_fract_z
Na1 Na 0.000 0.000 0.500
Na2 Na 0.500 0.000 0.000
As1 As 0.000 0.500 0.000
Sn1 Sn 0.000 0.000 0.000
Be1 Be 0.500 0.500 0.500
# **VASP energy**: -0.166 Ry/atom
# **Calculated formation energy**: 0.75 eV per atom

# Cd2CoSe (PBE, optimized geometry)
data_Cd2CoSe
_cell_length_a 5.263
_cell_length_b 5.263
_cell_length_c 5.263
_cell_angle_alpha 133.83
_cell_angle_beta 133.83
_cell_angle_gamma 67.35
_space_group_name_H-M_alt 'P 1'
_space_group_IT_number 1
_space_group_name_Hall 'P 1'
loop_
_atom_site_label
_atom_site_type_symbol
_atom_site_fract_x
_atom_site_fract_y
_atom_site_fract_z
Cd1 Cd 0.000 0.000 0.000
Cd2 Cd 0.250 0.750 0.500
Co1 Co 0.500 0.500 0.000
Se1 Se 0.750 0.250 0.500
# **ΔE_f (raw)**: 320.2 meV/atom
# **VASP energy**: -0.205 Ry/atom

# Cs3Li2F6 (PBE, optimized geometry)
data_Cs3Li2F6
_cell_length_a 4.198
_cell_length_b 4.198
_cell_length_c 12.562
_cell_angle_alpha 99.62
_cell_angle_beta 99.62
_cell_angle_gamma 90.00
_space_group_name_H-M_alt 'P 1'
_space_group_IT_number 1
_space_group_name_Hall 'P 1'
loop_
_atom_site_label
_atom_site_type_symbol
_atom_site_fract_x
_atom_site_fract_y
_atom_site_fract_z
Cs1 Cs 0.000 0.000 0.000
Cs2 Cs 0.818 0.818 0.635
Cs3 Cs 0.182 0.182 0.365
Li1 Li 0.393 0.393 0.786
Li2 Li 0.607 0.607 0.214
F1 F 0.089 0.589 0.179
F2 F 0.589 0.089 0.179
F3 F 0.911 0.411 0.821
F4 F 0.411 0.911 0.821
F5 F 0.686 0.686 0.373
F6 F 0.314 0.314 0.627
# **ΔE_f (raw)**: -2504.7 meV/atom
# **VASP energy**: -0.302 Ry/atom

# Pm4Mg5Cd (PBE, optimized geometry)
data_Pm4Mg5Cd
_cell_length_a 5.320
_cell_length_b 6.683
_cell_length_c 8.503
_cell_angle_alpha 105.39
_cell_angle_beta 108.23
_cell_angle_gamma 90.00
_space_group_name_H-M_alt 'P 1'
_space_group_IT_number 1
_space_group_name_Hall 'P 1'
loop_
_atom_site_label
_atom_site_type_symbol
_atom_site_fract_x
_atom_site_fract_y
_atom_site_fract_z
Pm1 Pm 0.693 0.310 0.386
Pm2 Pm 0.099 0.893 0.198
Pm3 Pm 0.307 0.690 0.614
Pm4 Pm 0.901 0.107 0.802
Mg1 Mg 0.303 0.201 0.605
Mg2 Mg 0.097 0.414 0.193
Mg3 Mg 0.903 0.586 0.807
Mg4 Mg 0.500 0.500 0.000
Mg5 Mg 0.697 0.799 0.395
Cd1 Cd 0.500 0.000 0.000
# **VASP energy**: -0.215 Ry/atom
# **Relative energy among the computed polymorphs**: 0.000 eV/atom
# **Calculated formation energy**: -0.13 eV per atom

# TiNb2Tc2 (PBE, optimized geometry)
data_TiNb2Tc2
_cell_length_a 3.186
_cell_length_b 4.489
_cell_length_c 11.431
_cell_angle_alpha 90.00
_cell_angle_beta 97.91
_cell_angle_gamma 90.00
_space_group_name_H-M_alt 'P 1'
_space_group_IT_number 1
_space_group_name_Hall 'P 1'
loop_
_atom_site_label
_atom_site_type_symbol
_atom_site_fract_x
_atom_site_fract_y
_atom_site_fract_z
Ti1 Ti 0.854 0.750 0.708
Ti2 Ti 0.146 0.250 0.292
Nb1 Nb 0.050 0.750 0.100
Nb2 Nb 0.950 0.250 0.900
Nb3 Nb 0.246 0.750 0.492
Nb4 Nb 0.754 0.250 0.508
Tc1 Tc 0.649 0.750 0.297
Tc2 Tc 0.351 0.250 0.703
Tc3 Tc 0.451 0.750 0.901
Tc4 Tc 0.549 0.250 0.099
# **VASP energy**: -0.744 Ry/atom
# **Relative energy among the computed polymorphs**: 0.000 eV/atom
# **Calculated formation energy**: -0.37 eV per atom

# NbCu (PBE, optimized geometry)
data_NbCu
_cell_length_a 4.290
_cell_length_b 4.290
_cell_length_c 5.098
_cell_angle_alpha 90.00
_cell_angle_beta 90.00
_cell_angle_gamma 120.00
_space_group_name_H-M_alt 'P 1'
_space_group_IT_number 1
_space_group_name_Hall 'P 1'
loop_
_atom_site_label
_atom_site_type_symbol
_atom_site_fract_x
_atom_site_fract_y
_atom_site_fract_z
Nb1 Nb 0.333 0.667 0.750
Nb2 Nb 0.667 0.333 0.250
Cu1 Cu 0.333 0.667 0.250
Cu2 Cu 0.667 0.333 0.750
# **VASP energy**: -0.431 Ry/atom
# **Calculated formation energy**: 1.23 eV per atom

# DyLuGe (PBE, optimized geometry)
data_DyLuGe
_cell_length_a 4.822
_cell_length_b 4.822
_cell_length_c 4.822
_cell_angle_alpha 60.00
_cell_angle_beta 60.00
_cell_angle_gamma 60.00
_space_group_name_H-M_alt 'P 1'
_space_group_IT_number 1
_space_group_name_Hall 'P 1'
loop_
_atom_site_label
_atom_site_type_symbol
_atom_site_fract_x
_atom_site_fract_y
_atom_site_fract_z
Ge1 Ge 0.250 0.250 0.250
Lu1 Lu 0.000 0.000 0.000
Dy1 Dy 0.500 0.500 0.500
# **VASP energy**: -0.374 Ry/atom
# **Relative energy among the computed polymorphs**: 0.000 eV/atom
# **Calculated formation energy**: -0.51 eV per atom

# NaScSi (PBE, optimized geometry)
data_NaScSi
_cell_length_a 4.620
_cell_length_b 4.620
_cell_length_c 7.218
_cell_angle_alpha 90.00
_cell_angle_beta 90.00
_cell_angle_gamma 120.00
_space_group_name_H-M_alt 'P 1'
_space_group_IT_number 1
_space_group_name_Hall 'P 1'
loop_
_atom_site_label
_atom_site_type_symbol
_atom_site_fract_x
_atom_site_fract_y
_atom_site_fract_z
Sc1 Sc 0.333 0.667 0.735
Sc2 Sc 0.000 0.000 0.494
Na1 Na 0.667 0.333 0.196
Na2 Na 0.000 0.000 0.008
Si1 Si 0.667 0.333 0.733
Si2 Si 0.333 0.667 0.355
# **ΔE_f (raw)**: -185.6 meV/atom
# **VASP energy**: -0.334 Ry/atom